1.
# CaAlNi, optimized geometry, DFT PBE
# spin magnetization = 0.0 Bohr magnetons per cell
# formation energy = -0.25 eV per atom
data_CaAlNi
_chemical_formula_sum 'Ca1 Al1 Ni1'
_cell_length_a 4.1476
_cell_length_b 4.1476
_cell_length_c 4.2343
_cell_angle_alpha 90.00
_cell_angle_beta 90.00
_cell_angle_gamma 120.00
_symmetry_space_group_name_H-M 'P -6 m 2'
_symmetry_Int_Tables_number 187
_symmetry_space_group_name_Hall 'P -6 2'
loop_
_atom_site_label
_atom_site_fract_x
_atom_site_fract_y
_atom_site_fract_z
Ca1 0.0000 0.0000 0.0000
Al1 0.3333 0.6667 0.5000
Ni1 0.6667 0.3333 0.5000

2.
# Ca2AlNi, optimized geometry, DFT PBE
# spin magnetization = 0.0 Bohr magnetons per cell
# formation energy = -0.01 eV per atom
data_Ca2AlNi
_chemical_formula_sum 'Ca2 Al1 Ni1'
_cell_length_a 4.9576
_cell_length_b 4.9576
_cell_length_c 3.7370
_cell_angle_alpha 90.00
_cell_angle_beta 90.00
_cell_angle_gamma 90.00
_symmetry_space_group_name_H-M 'P 4/m m m'
_symmetry_Int_Tables_number 123
_symmetry_space_group_name_Hall '-P 4 2'
loop_
_atom_site_label
_atom_site_fract_x
_atom_site_fract_y
_atom_site_fract_z
Ca1 0.0000 0.5000 0.0000
Al1 0.0000 0.0000 0.5000
Ni1 0.5000 0.5000 0.5000

3.
# Ca2AlNi, optimized geometry, DFT PBE
# spin magnetization = 0.0 Bohr magnetons per cell
# formation energy = -0.06 eV per atom
data_Ca2AlNi
_chemical_formula_sum 'Ca8 Al4 Ni4'
_cell_length_a 10.3056
_cell_length_b 10.3056
_cell_length_c 4.5855
_cell_angle_alpha 90.00
_cell_angle_beta 90.00
_cell_angle_gamma 90.00
_symmetry_space_group_name_H-M 'I -4 2 d'
_symmetry_Int_Tables_number 122
_symmetry_space_group_name_Hall 'I -4 2bw'
loop_
_atom_site_label
_atom_site_fract_x
_atom_site_fract_y
_atom_site_fract_z
Ca1 0.0801 0.7500 0.1250
Al1 0.0000 0.0000 0.5000
Ni1 0.0000 0.0000 0.0000

Among the records above, which one has the lowest formation energy?
CaAlNi

Which of these has the lowest formation energy?
CaAlNi

Look up the spin magnetization of the third one.
0.0 Bohr magnetons per cell